No. 1
# SiGeBRu2 PBE-GGA optimized geometry
# - ρ: 7.0 g/cm3
# - Electronic total energy: -6.1830 eV per atom
# - Space group: P4/mmm (123)
# - Formation energy without anion corrections: 0.87 eV per atom
data_SiGeBRu2
_cell_length_a 4.5101
_cell_length_b 3.6832
_cell_length_c 4.5101
_cell_angle_alpha 90.00
_cell_angle_beta 90.00
_cell_angle_gamma 90.00
_symmetry_space_group_name_H-M 'P 1'
_symmetry_Int_Tables_number 1
_symmetry_space_group_name_Hall 'P 1'
loop_
_atom_site_label
_atom_site_fract_x
_atom_site_fract_y
_atom_site_fract_z
Ru1 0.0000 0.0000 0.5000
Ru2 0.5000 0.0000 0.0000
B1 0.0000 0.5000 0.0000
Si1 0.0000 0.0000 0.0000
Ge1 0.5000 0.5000 0.5000

No. 2
# Sm2Ge2BRu2 PBE-GGA optimized geometry
# - ρ: 8.3 g/cm3
# - Electronic total energy: -6.9869 eV per atom
# - Energy relative to the elements: -0.715 eV per atom
# - Space group: C2/m (12)
data_Sm2Ge2BRu2
_cell_length_a 4.2862
_cell_length_b 6.0070
_cell_length_c 5.9811
_cell_angle_alpha 72.79
_cell_angle_beta 69.00
_cell_angle_gamma 69.10
_symmetry_space_group_name_H-M 'P 1'
_symmetry_Int_Tables_number 1
_symmetry_space_group_name_Hall 'P 1'
loop_
_atom_site_label
_atom_site_fract_x
_atom_site_fract_y
_atom_site_fract_z
Ge1 0.1609 0.3876 0.2906
Ge2 0.8391 0.6124 0.7094
Ru1 0.7919 0.3140 0.1022
Ru2 0.2081 0.6860 0.8978
Sm1 0.4384 0.8260 0.2971
Sm2 0.5616 0.1740 0.7029
B1 0.0000 0.0000 0.0000

No. 3
# Sm2GeB2Ru5 PBE-GGA optimized geometry
# - ρ: 10.2 g/cm3
# - Electronic total energy: -7.7742 eV per atom
# - Energy relative to the elements: -0.395 eV per atom
# - Space group: P4/mbm (127)
data_Sm2GeB2Ru5
_cell_length_a 3.1267
_cell_length_b 9.6643
_cell_length_c 9.6643
_cell_angle_alpha 90.00
_cell_angle_beta 90.00
_cell_angle_gamma 90.00
_symmetry_space_group_name_H-M 'P 1'
_symmetry_Int_Tables_number 1
_symmetry_space_group_name_Hall 'P 1'
loop_
_atom_site_label
_atom_site_fract_x
_atom_site_fract_y
_atom_site_fract_z
Ru1 0.5000 0.2174 0.0679
Ru2 0.5000 0.0679 0.7826
Ru3 0.5000 0.5000 0.0000
Ru4 0.5000 0.4321 0.2826
Ru5 0.5000 0.7826 0.9321
Ru6 0.5000 0.9321 0.2174
Ru7 0.5000 0.0000 0.5000
Ru8 0.5000 0.5679 0.7174
Ru9 0.5000 0.2826 0.5679
Ru10 0.5000 0.7174 0.4321
B1 0.0000 0.3781 0.1219
B2 0.0000 0.8781 0.3781
B3 0.0000 0.1219 0.6219
B4 0.0000 0.6219 0.8781
Sm1 0.0000 0.8235 0.6765
Sm2 0.0000 0.3235 0.8235
Sm3 0.0000 0.6765 0.1765
Sm4 0.0000 0.1765 0.3235
Ge1 0.0000 0.0000 0.0000
Ge2 0.0000 0.5000 0.5000

No. 4
# Sm3Ge2BRu3 PBE-GGA optimized geometry
# - ρ: 9.1 g/cm3
# - Electronic total energy: -6.8913 eV per atom
# - Energy relative to the elements: -0.458 eV per atom
# - Space group: P-62m (189)
data_Sm3Ge2BRu3
_cell_length_a 3.6134
_cell_length_b 7.2793
_cell_length_c 7.2793
_cell_angle_alpha 120.00
_cell_angle_beta 90.00
_cell_angle_gamma 90.00
_symmetry_space_group_name_H-M 'P 1'
_symmetry_Int_Tables_number 1
_symmetry_space_group_name_Hall 'P 1'
loop_
_atom_site_label
_atom_site_fract_x
_atom_site_fract_y
_atom_site_fract_z
Sm1 0.0000 0.0000 0.3742
Sm2 0.0000 0.3742 0.0000
Sm3 0.0000 0.6258 0.6258
Ge1 0.5000 0.6667 0.3333
Ge2 0.5000 0.3333 0.6667
Ru1 0.5000 0.0000 0.7786
Ru2 0.5000 0.2214 0.2214
Ru3 0.5000 0.7786 0.0000
B1 0.0000 0.0000 0.0000

Q: Number 3 is which compound?
A: Sm2GeB2Ru5